{"formula": "Na5Tl4Ag2", "functional": "PBE", "state": "relaxed", "magnetic_moment_mub_per_fu": 0.000, "formation_energy_ev_per_fu": -0.6, "cell": [[3.432, 0.000, 0.000], [0.000, 8.369, -0.914], [0.000, 0.324, 10.419]], "species": ["Tl", "Tl", "Tl", "Tl", "Na", "Na", "Na", "Na", "Na", "Ag", "Ag"], "fractional_positions": [[0.500, 0.778, 0.574], [0.500, 0.799, 0.144], [0.500, 0.222, 0.426], [0.500, 0.201, 0.856], [0.000, 0.147, 0.139], [0.000, 0.455, 0.662], [0.000, 0.500, 0.000], [0.000, 0.545, 0.338], [0.000, 0.853, 0.861], [0.000, 0.921, 0.367], [0.000, 0.079, 0.633]]}

***

{"formula": "Na2TlAg", "functional": "PBE", "state": "relaxed", "magnetic_moment_mub_per_fu": 0.000, "formation_energy_ev_per_fu": 0.1, "cell": [[3.397, 0.000, 0.000], [1.699, 2.942, 0.000], [1.699, 0.981, 10.363]], "species": ["Na", "Na", "Ag", "Tl"], "fractional_positions": [[0.077, 0.077, 0.768], [0.256, 0.256, 0.232], [0.667, 0.667, 0.000], [0.500, 0.500, 0.500]]}

***

{"formula": "NaTl3Ag", "functional": "PBE", "state": "relaxed", "magnetic_moment_mub_per_fu": 0.000, "formation_energy_ev_per_fu": 2.6, "cell": [[-0.017, -1.211, 5.454], [5.383, -1.463, -0.308], [1.495, 5.254, 1.171]], "species": ["Tl", "Tl", "Tl", "Na", "Ag"], "fractional_positions": [[0.000, 0.500, 0.000], [0.500, 0.000, 0.000], [0.000, 0.000, 0.500], [0.000, 0.000, 0.000], [0.500, 0.500, 0.500]]}

***

{"formula": "Na5TlAg", "functional": "PBE", "state": "relaxed", "magnetic_moment_mub_per_fu": 0.000, "formation_energy_ev_per_fu": -0.3, "cell": [[-5.409, 3.057, -1.218], [2.630, 1.568, -7.742], [-1.780, -9.126, 2.024]], "species": ["Tl", "Tl", "Na", "Na", "Na", "Na", "Na", "Na", "Na", "Na", "Na", "Na", "Ag", "Ag"], "fractional_positions": [[0.000, 0.000, 0.000], [0.500, 0.500, 0.000], [0.115, 0.114, 0.730], [0.920, 0.563, 0.848], [0.750, 0.652, 0.500], [0.420, 0.786, 0.848], [0.580, 0.214, 0.152], [0.885, 0.886, 0.270], [0.615, 0.116, 0.730], [0.080, 0.437, 0.152], [0.385, 0.884, 0.270], [0.250, 0.348, 0.500], [0.250, 0.756, 0.500], [0.750, 0.244, 0.500]]}

***

{"formula": "Na2Tl8Ag", "functional": "PBE", "state": "relaxed", "magnetic_moment_mub_per_fu": 0.000, "formation_energy_ev_per_fu": -0.3, "cell": [[5.005, 0.000, 0.000], [0.000, 5.005, 0.000], [0.000, 0.000, 12.630]], "species": ["Ag", "Tl", "Tl", "Tl", "Tl", "Tl", "Tl", "Tl", "Tl", "Na", "Na"], "fractional_positions": [[0.000, 0.000, 0.000], [0.000, 0.500, 0.867], [0.500, 0.500, 0.682], [0.500, 0.000, 0.133], [0.000, 0.500, 0.500], [0.500, 0.500, 0.318], [0.500, 0.000, 0.500], [0.500, 0.000, 0.867], [0.000, 0.500, 0.133], [0.000, 0.000, 0.684], [0.000, 0.000, 0.316]]}

***

{"formula": "Na12Tl6Ag", "functional": "PBE", "state": "relaxed", "magnetic_moment_mub_per_fu": 0.000, "formation_energy_ev_per_fu": -1.5, "cell": [[8.239, -0.232, 0.431], [0.397, 8.232, 0.431], [-0.250, -0.232, 8.246]], "species": ["Na", "Na", "Na", "Na", "Na", "Na", "Na", "Na", "Na", "Na", "Na", "Na", "Tl", "Tl", "Tl", "Tl", "Tl", "Tl", "Ag"], "fractional_positions": [[0.808, 0.527, 0.429], [0.371, 0.031, 0.143], [0.527, 0.429, 0.808], [0.571, 0.192, 0.473], [0.143, 0.371, 0.031], [0.969, 0.857, 0.629], [0.429, 0.808, 0.527], [0.857, 0.629, 0.969], [0.031, 0.143, 0.371], [0.473, 0.571, 0.192], [0.629, 0.969, 0.857], [0.192, 0.473, 0.571], [0.886, 0.252, 0.734], [0.748, 0.266, 0.114], [0.266, 0.114, 0.748], [0.114, 0.748, 0.266], [0.252, 0.734, 0.886], [0.734, 0.886, 0.252], [0.000, 0.000, 0.000]]}

***

{"formula": "Na2Tl2Ag", "functional": "PBE", "state": "relaxed", "magnetic_moment_mub_per_fu": 0.000, "formation_energy_ev_per_fu": -0.2, "cell": [[-3.595, 2.889, -1.787], [-1.034, -4.189, -4.692], [-3.750, -5.405, 5.652]], "species": ["Ag", "Ag", "Na", "Na", "Na", "Na", "Tl", "Tl", "Tl", "Tl"], "fractional_positions": [[0.605, 0.576, 0.209], [0.395, 0.076, 0.791], [0.214, 0.855, 0.429], [0.786, 0.355, 0.571], [0.020, 0.780, 0.039], [0.980, 0.280, 0.961], [0.168, 0.362, 0.336], [0.832, 0.862, 0.664], [0.594, 0.062, 0.188], [0.406, 0.562, 0.812]]}

***

{"formula": "Na16Tl12Ag", "functional": "PBE", "state": "relaxed", "magnetic_moment_mub_per_fu": 0.000, "formation_energy_ev_per_fu": -2.7, "cell": [[-1.897, -0.605, -10.081], [-4.545, -7.918, 4.716], [-3.850, 8.852, 3.686]], "species": ["Tl", "Tl", "Tl", "Tl", "Tl", "Tl", "Tl", "Tl", "Tl", "Tl", "Tl", "Tl", "Na", "Na", "Na", "Na", "Na", "Na", "Na", "Na", "Na", "Na", "Na", "Na", "Na", "Na", "Na", "Na", "Ag"], "fractional_positions": [[0.995, 0.190, 0.376], [0.193, 0.797, 0.809], [0.614, 0.614, 0.806], [0.994, 0.379, 0.185], [0.379, 0.994, 0.185], [0.811, 0.811, 0.188], [0.369, 0.179, 0.986], [0.797, 0.193, 0.809], [0.179, 0.369, 0.986], [0.615, 0.811, 0.622], [0.811, 0.615, 0.622], [0.190, 0.995, 0.376], [0.426, 0.677, 0.016], [0.652, 0.996, 0.000], [0.299, 0.299, 0.711], [0.574, 0.273, 0.580], [0.991, 0.991, 0.659], [0.677, 0.426, 0.016], [0.994, 0.408, 0.685], [0.377, 0.377, 0.328], [0.000, 0.689, 0.414], [0.408, 0.994, 0.685], [0.711, 0.316, 0.302], [0.996, 0.652, 0.000], [0.316, 0.711, 0.302], [0.273, 0.574, 0.580], [0.007, 0.007, 0.012], [0.689, 0.000, 0.414], [0.662, 0.662, 0.344]]}

***

{"formula": "Na2TlAg", "functional": "PBE", "state": "relaxed", "magnetic_moment_mub_per_fu": 0.000, "formation_energy_ev_per_fu": -0.2, "cell": [[4.835, 0.000, 1.354], [2.174, 5.568, 1.548], [0.337, -0.276, 8.108]], "species": ["Tl", "Tl", "Na", "Na", "Na", "Na", "Ag", "Ag"], "fractional_positions": [[0.501, 0.682, 0.317], [0.136, 0.994, 0.734], [0.818, 0.839, 0.526], [0.437, 0.412, 0.713], [0.201, 0.264, 0.334], [0.817, 0.342, 0.023], [0.063, 0.765, 0.110], [0.569, 0.918, 0.943]]}

***

{"formula": "Na17Tl11Ag", "functional": "PBE", "state": "relaxed", "magnetic_moment_mub_per_fu": 0.000, "formation_energy_ev_per_fu": -2.7, "cell": [[-7.001, -1.903, -7.357], [8.645, 3.698, -4.284], [2.144, -8.774, 5.078]], "species": ["Na", "Na", "Na", "Na", "Na", "Na", "Na", "Na", "Na", "Na", "Na", "Na", "Na", "Na", "Na", "Na", "Na", "Tl", "Tl", "Tl", "Tl", "Tl", "Tl", "Tl", "Tl", "Tl", "Tl", "Tl", "Ag"], "fractional_positions": [[0.001, 0.338, 0.000], [0.412, 0.412, 0.721], [0.678, 0.678, 0.275], [0.583, 0.308, 0.002], [0.003, 0.309, 0.588], [0.003, 0.592, 0.310], [0.661, 0.661, 0.664], [0.309, 0.003, 0.588], [0.691, 0.277, 0.690], [0.308, 0.583, 0.002], [0.718, 0.416, 0.409], [0.995, 0.995, 0.334], [0.592, 0.003, 0.310], [0.277, 0.691, 0.690], [0.002, 0.002, 0.001], [0.338, 0.001, 0.000], [0.416, 0.718, 0.409], [0.200, 0.386, 0.378], [0.199, 0.199, 0.825], [0.807, 0.616, 0.001], [0.001, 0.620, 0.812], [0.199, 0.817, 0.193], [0.386, 0.200, 0.378], [0.817, 0.199, 0.193], [0.002, 0.812, 0.621], [0.620, 0.001, 0.812], [0.812, 0.002, 0.621], [0.616, 0.807, 0.001], [0.354, 0.354, 0.173]]}

***

{"formula": "NaTl2Ag", "functional": "PBE", "state": "relaxed", "magnetic_moment_mub_per_fu": 0.000, "formation_energy_ev_per_fu": -0.1, "cell": [[0.000, 3.669, 3.669], [3.669, 0.000, 3.669], [3.669, 3.669, 0.000]], "species": ["Tl", "Tl", "Ag", "Na"], "fractional_positions": [[0.250, 0.250, 0.250], [0.750, 0.750, 0.750], [0.500, 0.500, 0.500], [0.000, 0.000, 0.000]]}

***

{"formula": "NaTl2Ag2", "functional": "PBE", "state": "relaxed", "magnetic_moment_mub_per_fu": 0.000, "formation_energy_ev_per_fu": 0.5, "cell": [[-1.705, -1.800, 3.937], [3.974, -2.329, 0.655], [3.499, 2.895, 5.588]], "species": ["Tl", "Tl", "Ag", "Ag", "Na"], "fractional_positions": [[0.250, 0.750, 0.500], [0.750, 0.250, 0.500], [0.395, 0.395, 0.209], [0.605, 0.605, 0.791], [0.000, 0.000, 0.000]]}